# 1
# TmZr3 PBE-GGA relaxed
# * total DFT energy (no corrections): -7.36 eV per atom
# * ΔH_f (0 K): 166 meV/atom
data_TmZr3
_chemical_formula_sum 'Tm4 Zr12'
_space_group_name_H-M_alt 'F m -3 m'
_space_group_IT_number 225
_space_group_name_Hall '-F 4 2 3'
_cell_length_a 7.2922
_cell_length_b 7.2922
_cell_length_c 7.2922
_cell_angle_alpha 90.00
_cell_angle_beta 90.00
_cell_angle_gamma 90.00
loop_
_atom_site_label
_atom_site_type_symbol
_atom_site_fract_x
_atom_site_fract_y
_atom_site_fract_z
_atom_site_occupancy
Tm1 Tm 0.0000 0.0000 0.0000 1
Zr1 Zr 0.0000 0.0000 0.5000 1
Zr2 Zr 0.2500 0.2500 0.2500 1

***

# 2
# Pu2ZnP PBE-GGA relaxed
# * total DFT energy (no corrections): -8.52 eV per atom
# * ΔH_f (0 K): 321 meV/atom
data_Pu2ZnP
_chemical_formula_sum 'Pu6 Zn3 P3'
_space_group_name_H-M_alt 'R -3 m'
_space_group_IT_number 166
_space_group_name_Hall '-R 3 2"'
_cell_length_a 2.7037
_cell_length_b 2.7037
_cell_length_c 33.4896
_cell_angle_alpha 90.00
_cell_angle_beta 90.00
_cell_angle_gamma 120.00
loop_
_atom_site_label
_atom_site_type_symbol
_atom_site_fract_x
_atom_site_fract_y
_atom_site_fract_z
_atom_site_occupancy
Pu1 Pu 0.0000 0.0000 0.0928 1
Zn1 Zn 0.0000 0.0000 0.0000 1
P1 P 0.0000 0.0000 0.5000 1

***

# 3
# Sc2HOsRh PBE-GGA relaxed
# * total DFT energy (no corrections): -7.52 eV per atom
data_Sc2HOsRh
_chemical_formula_sum 'Sc2 H1 Os1 Rh1'
_space_group_name_H-M_alt 'P 4/m m m'
_space_group_IT_number 123
_space_group_name_Hall '-P 4 2'
_cell_length_a 4.5391
_cell_length_b 4.5391
_cell_length_c 3.4065
_cell_angle_alpha 90.00
_cell_angle_beta 90.00
_cell_angle_gamma 90.00
loop_
_atom_site_label
_atom_site_type_symbol
_atom_site_fract_x
_atom_site_fract_y
_atom_site_fract_z
_atom_site_occupancy
Sc1 Sc 0.0000 0.5000 0.0000 1
H1 H 0.0000 0.0000 0.0000 1
Os1 Os 0.5000 0.5000 0.5000 1
Rh1 Rh 0.0000 0.0000 0.5000 1

***

# 4
# Tm11Zn4Ag9 PBE-GGA relaxed
# * total DFT energy (no corrections): -3.63 eV per atom
# * ΔH_f (0 K): -300 meV/atom
data_Tm11Zn4Ag9
_chemical_formula_sum 'Tm22 Zn8 Ag18'
_space_group_name_H-M_alt 'C m m m'
_space_group_IT_number 65
_space_group_name_Hall '-C 2 2'
_cell_length_a 14.0268
_cell_length_b 21.2815
_cell_length_c 3.6005
_cell_angle_alpha 90.00
_cell_angle_beta 90.00
_cell_angle_gamma 90.00
loop_
_atom_site_label
_atom_site_type_symbol
_atom_site_fract_x
_atom_site_fract_y
_atom_site_fract_z
_atom_site_occupancy
Tm1 Tm 0.0000 0.0000 0.0000 1
Tm2 Tm 0.0000 0.1668 0.0000 1
Tm3 Tm 0.0000 0.3503 0.0000 1
Tm4 Tm 0.2298 0.5000 0.0000 1
Tm5 Tm 0.2456 0.1692 0.0000 1
Zn1 Zn 0.1377 0.4099 0.5000 1
Ag1 Ag 0.0000 0.5000 0.5000 1
Ag2 Ag 0.1131 0.2580 0.5000 1
Ag3 Ag 0.1339 0.0780 0.5000 1

***

# 5
# KCuAg PBE-GGA relaxed
# * total DFT energy (no corrections): -2.21 eV per atom
# * ΔH_f (0 K): 473 meV/atom
data_KCuAg
_chemical_formula_sum 'K4 Cu4 Ag4'
_space_group_name_H-M_alt 'F -4 3 m'
_space_group_IT_number 216
_space_group_name_Hall 'F -4 2 3'
_cell_length_a 6.9492
_cell_length_b 6.9492
_cell_length_c 6.9492
_cell_angle_alpha 90.00
_cell_angle_beta 90.00
_cell_angle_gamma 90.00
loop_
_atom_site_label
_atom_site_type_symbol
_atom_site_fract_x
_atom_site_fract_y
_atom_site_fract_z
_atom_site_occupancy
K1 K 0.0000 0.0000 0.0000 1
Cu1 Cu 0.2500 0.2500 0.2500 1
Ag1 Ag 0.0000 0.0000 0.5000 1

***

# 6
# TlHgBr2 PBE-GGA relaxed
# * total DFT energy (no corrections): -1.92 eV per atom
# * uncorrected formation energy: -416 meV per atom
data_TlHgBr2
_chemical_formula_sum 'Tl1 Hg1 Br2'
_space_group_name_H-M_alt 'P 1 2/m 1'
_space_group_IT_number 10
_cell_length_a 4.1035
_cell_length_b 4.1298
_cell_length_c 8.1868
_cell_angle_alpha 90.00
_cell_angle_beta 91.18
_cell_angle_gamma 90.00
loop_
_space_group_symop_operation_xyz
'x,y,z'
'-x,-y,-z'
'-x,y,-z'
'x,-y,z'
loop_
_atom_site_label
_atom_site_type_symbol
_atom_site_fract_x
_atom_site_fract_y
_atom_site_fract_z
_atom_site_occupancy
Tl1 Tl 0.0000 0.0000 0.0000 1
Hg1 Hg 0.5000 0.0000 0.5000 1
Br1 Br 0.4919 0.5000 0.7719 1

***

# 7
# USn2Pt7 PBE-GGA relaxed
# * total DFT energy (no corrections): -6.42 eV per atom
# * ΔH_f (0 K): -261 meV/atom
data_USn2Pt7
_chemical_formula_sum 'U2 Sn4 Pt14'
_space_group_name_H-M_alt 'C m m m'
_space_group_IT_number 65
_space_group_name_Hall '-C 2 2'
_cell_length_a 7.3808
_cell_length_b 14.0667
_cell_length_c 4.2256
_cell_angle_alpha 90.00
_cell_angle_beta 90.00
_cell_angle_gamma 90.00
loop_
_atom_site_label
_atom_site_type_symbol
_atom_site_fract_x
_atom_site_fract_y
_atom_site_fract_z
_atom_site_occupancy
U1 U 0.0000 0.0000 0.0000 1
Sn1 Sn 0.0000 0.3061 0.5000 1
Pt1 Pt 0.0000 0.1952 0.0000 1
Pt2 Pt 0.0000 0.5000 0.5000 1
Pt3 Pt 0.1845 0.0983 0.5000 1

***

# 8
# CeMgHg PBE-GGA relaxed
# * total DFT energy (no corrections): -2.88 eV per atom
# * ΔH_f (0 K): -267 meV/atom
data_CeMgHg
_chemical_formula_sum 'Ce4 Mg4 Hg4'
_space_group_name_H-M_alt 'I m m m'
_space_group_IT_number 71
_space_group_name_Hall '-I 2 2'
_cell_length_a 5.0582
_cell_length_b 6.4302
_cell_length_c 9.1187
_cell_angle_alpha 90.00
_cell_angle_beta 90.00
_cell_angle_gamma 90.00
loop_
_atom_site_label
_atom_site_type_symbol
_atom_site_fract_x
_atom_site_fract_y
_atom_site_fract_z
_atom_site_occupancy
Ce1 Ce 0.0000 0.2153 0.0000 1
Mg1 Mg 0.0000 0.0000 0.3368 1
Hg1 Hg 0.0000 0.5000 0.3187 1

***

# 9
# Sr4MgFe PBE-GGA relaxed
# * total DFT energy (no corrections): -1.92 eV per atom
# * ΔH_f (0 K): 874 meV/atom
data_Sr4MgFe
_chemical_formula_sum 'Sr16 Mg4 Fe4'
_space_group_name_H-M_alt 'F -4 3 m'
_space_group_IT_number 216
_space_group_name_Hall 'F -4 2 3'
_cell_length_a 10.1094
_cell_length_b 10.1094
_cell_length_c 10.1094
_cell_angle_alpha 90.00
_cell_angle_beta 90.00
_cell_angle_gamma 90.00
loop_
_atom_site_label
_atom_site_type_symbol
_atom_site_fract_x
_atom_site_fract_y
_atom_site_fract_z
_atom_site_occupancy
Sr1 Sr 0.1245 0.1245 0.1245 1
Mg1 Mg 0.0000 0.0000 0.5000 1
Fe1 Fe 0.2500 0.2500 0.7500 1

***

# 10
# CeNd2Tl4 PBE-GGA relaxed
# * total DFT energy (no corrections): -3.68 eV per atom
# * ΔH_f (0 K): -121 meV/atom
data_CeNd2Tl4
_chemical_formula_sum 'Ce3 Nd6 Tl12'
_space_group_name_H-M_alt 'R -3 m'
_space_group_IT_number 166
_space_group_name_Hall '-R 3 2"'
_cell_length_a 4.9479
_cell_length_b 4.9479
_cell_length_c 31.4881
_cell_angle_alpha 90.00
_cell_angle_beta 90.00
_cell_angle_gamma 120.00
loop_
_atom_site_label
_atom_site_type_symbol
_atom_site_fract_x
_atom_site_fract_y
_atom_site_fract_z
_atom_site_occupancy
Ce1 Ce 0.0000 0.0000 0.0000 1
Nd1 Nd 0.0000 0.0000 0.1284 1
Tl1 Tl 0.0000 0.0000 0.2474 1
Tl2 Tl 0.0000 0.0000 0.3826 1

***

# 11
# CsAs3Pt PBE-GGA relaxed
# * total DFT energy (no corrections): -3.88 eV per atom
# * ΔH_f (0 K): 292 meV/atom
data_CsAs3Pt
_chemical_formula_sum 'Cs1 As3 Pt1'
_space_group_name_H-M_alt 'P m -3 m'
_space_group_IT_number 221
_space_group_name_Hall '-P 4 2 3'
_cell_length_a 5.1642
_cell_length_b 5.1642
_cell_length_c 5.1642
_cell_angle_alpha 90.00
_cell_angle_beta 90.00
_cell_angle_gamma 90.00
loop_
_atom_site_label
_atom_site_type_symbol
_atom_site_fract_x
_atom_site_fract_y
_atom_site_fract_z
_atom_site_occupancy
Cs1 Cs 0.0000 0.0000 0.0000 1
As1 As 0.0000 0.5000 0.5000 1
Pt1 Pt 0.5000 0.5000 0.5000 1

***

# 12
# Ba2ZrBeCl PBE-GGA relaxed
# * total DFT energy (no corrections): -3.49 eV per atom
# * uncorrected formation energy: 107 meV per atom
data_Ba2ZrBeCl
_chemical_formula_sum 'Ba2 Zr1 Be1 Cl1'
_space_group_name_H-M_alt 'P 4/m m m'
_space_group_IT_number 123
_space_group_name_Hall '-P 4 2'
_cell_length_a 6.4103
_cell_length_b 6.4103
_cell_length_c 4.7365
_cell_angle_alpha 90.00
_cell_angle_beta 90.00
_cell_angle_gamma 90.00
loop_
_atom_site_label
_atom_site_type_symbol
_atom_site_fract_x
_atom_site_fract_y
_atom_site_fract_z
_atom_site_occupancy
Ba1 Ba 0.0000 0.5000 0.0000 1
Zr1 Zr 0.0000 0.0000 0.5000 1
Be1 Be 0.0000 0.0000 0.0000 1
Cl1 Cl 0.5000 0.5000 0.5000 1